1.
The following is a PBE-GGA calculation of a relaxed Cd2Au crystal, from Alexandria via LeMat-Bulk.

abc: 6.5962 6.5962 6.5962
angles: 90.00 90.00 90.00
Closest atoms and distances in Å follow each position.
Space group Fm-3m (No. 225)
Symmetry-distinct sites (fractional):
Cd: 0.2500 0.2500 0.2500 [8 per cell]  4 Au 2.86
Au: 0.0000 0.0000 0.0000 [4 per cell]  8 Cd 2.86

Computed properties:
DOS(E_F) ... 0.57 states/eV/atom
E_form ... -155 meV per atom
Total magnetic moment ... 0.00 μB per formula unit



2.
The following is a PBE-GGA calculation of a relaxed Cd3Au5 crystal, from Alexandria via LeMat-Bulk.

abc: 7.8446 8.6087 4.5128
angles: 90.00 90.00 90.00
Closest atoms and distances in Å follow each position.
Space group Cmmm (No. 65)
Symmetry-distinct sites (fractional):
Cd: 0.0000 0.0000 0.0000 [2 per cell]  8 Au 2.90-2.91, 4 Cd 3.23
Cd: 0.0000 0.2680 0.5000 [4 per cell]  10 Au 2.90-3.01, 2 Cd 3.23
Au: 0.0000 0.5000 0.0000 [2 per cell]  8 Au 2.91-3.08, 4 Cd 3.01
Au: 0.2322 0.0000 0.5000 [4 per cell]  6 Cd 2.90-2.94, 6 Au 3.08-3.12
Au: 0.2500 0.2500 0.0000 [4 per cell]  6 Cd 2.91-2.99, 6 Au 2.91-3.12

Computed properties:
DOS(E_F) ... 0.24 states/eV/atom
Polymorph energy (0 for the lowest one) ... 0 meV per atom
E_form ... -144 meV per atom
Total magnetic moment ... 0.00 μB per formula unit



3.
The following is a PBE-GGA calculation of a relaxed CdAu2 crystal, from Alexandria via LeMat-Bulk.

abc: 4.1733 4.1733 25.9913
angles: 90.00 90.00 90.00
Closest atoms and distances in Å follow each position.
Space group I4_1/amd (No. 141, origin choice 2)
Symmetry-distinct sites (fractional):
Cd: 0.0000 0.2500 0.2939 [8 per cell]  10 Au 2.95-3.04, 2 Cd 3.09
Au: 0.0000 0.2500 0.1249 [8 per cell]  8 Au 2.95-3.02, 4 Cd 2.96-2.97
Au: 0.0000 0.2500 0.7911 [8 per cell]  6 Cd 2.95-3.04, 6 Au 2.99-3.02

Computed properties:
DOS(E_F) ... 0.34 states/eV/atom
E_form ... -135 meV per atom
Total magnetic moment ... 0.00 μB per formula unit



4.
The following is a PBE-GGA calculation of a relaxed Cd4Au crystal, from Alexandria via LeMat-Bulk.

abc: 9.8884 3.5030 7.2355
angles: 90.00 121.51 90.00
Closest atoms and distances in Å follow each position.
Space group C2/m (No. 12)
Symmetry-distinct sites (fractional):
Cd: 0.0908 0.0000 0.3856 [4 per cell]  8 Cd 2.95-3.20, 2 Au 3.01
Cd: 0.2098 0.5000 0.8074 [4 per cell]  7 Cd 2.95-3.16, 3 Au 3.01-3.04
Au: 0.0000 0.5000 0.0000 [2 per cell]  10 Cd 3.01-3.04

Computed properties:
DOS(E_F) ... 0.33 states/eV/atom
E_form ... -64 meV per atom
Total magnetic moment ... 0.00 μB per formula unit